No. 1
{"formula": "NaReN3", "functional": "GGA-PBE", "state": "relaxed", "cell": [[-3.443, -0.952, -1.315], [1.622, -1.914, -2.862], [0.055, -3.149, 2.137]], "species": ["Re", "N", "N", "N", "Na"], "frac_coords": [[0.500, 0.500, 0.500], [0.000, 0.500, 0.000], [0.000, 0.000, 0.500], [0.500, 0.000, 0.000], [0.000, 0.000, 0.000]], "magnetic_moment_mub_per_atom": 0.516, "dos_at_fermi_per_ev_atom": 1.449, "final_energy_ev_per_atom": -4.5338}

No. 2
{"formula": "NaReN2", "functional": "GGA-PBE", "state": "relaxed", "cell": [[1.713, 0.000, 6.805], [-0.857, 1.484, 6.805], [-0.857, -1.484, 6.805]], "species": ["Re", "N", "N", "Na"], "frac_coords": [[0.500, 0.500, 0.500], [0.891, 0.891, 0.891], [0.109, 0.109, 0.109], [0.000, 0.000, 0.000]], "polymorph_energy_ev_per_atom": 0.3654, "magnetic_moment_mub_per_atom": 0.000, "dos_at_fermi_per_ev_atom": 0.756, "final_energy_ev_per_atom": -7.3615}

No. 3
{"formula": "Na3Re2N5", "functional": "GGA-PBE", "state": "relaxed", "cell": [[-8.644, -0.990, 4.751], [11.741, -0.241, 4.584], [-2.033, 6.354, 5.540]], "species": ["Na", "Na", "Na", "Na", "Na", "Na", "Na", "Na", "Na", "Na", "Na", "Na", "Re", "Re", "Re", "Re", "Re", "Re", "Re", "Re", "N", "N", "N", "N", "N", "N", "N", "N", "N", "N", "N", "N", "N", "N", "N", "N", "N", "N", "N", "N"], "frac_coords": [[0.556, 0.680, 0.945], [0.444, 0.320, 0.500], [0.804, 0.624, 0.070], [0.196, 0.376, 0.875], [0.618, 0.236, 0.773], [0.382, 0.764, 0.391], [0.854, 0.118, 0.405], [0.146, 0.882, 0.260], [0.000, 0.000, 0.575], [0.000, 0.500, 0.825], [0.000, 0.500, 0.249], [0.000, 0.000, 0.999], [0.224, 0.442, 0.440], [0.776, 0.558, 0.664], [0.661, 0.719, 0.472], [0.339, 0.281, 0.133], [0.411, 0.793, 0.774], [0.589, 0.207, 0.184], [0.175, 0.882, 0.642], [0.825, 0.118, 0.816], [0.274, 0.567, 0.277], [0.726, 0.433, 0.552], [0.860, 0.793, 0.235], [0.140, 0.207, 0.094], [0.956, 0.850, 0.811], [0.044, 0.150, 0.767], [0.743, 0.393, 0.167], [0.257, 0.607, 0.910], [0.303, 0.342, 0.328], [0.697, 0.658, 0.632], [0.380, 0.538, 0.540], [0.620, 0.462, 0.920], [0.248, 0.818, 0.768], [0.752, 0.182, 0.016], [0.388, 0.070, 0.448], [0.612, 0.930, 0.837], [0.603, 0.839, 0.527], [0.397, 0.161, 0.129], [0.076, 0.736, 0.540], [0.924, 0.264, 0.616]], "magnetic_moment_mub_per_atom": 0.000, "final_energy_ev_per_atom": -7.2293}